1.
4
Lattice="-2.260 2.260 3.820 2.260 -2.260 3.820 2.260 2.260 -3.820" Properties=species:S:1:pos:R:3 comment="PBE CrInAs2, relaxed" ef_mev_per_atom=300 final_energy_ev_per_atom=-5.115 spacegroup="I4/mmm (139)" magmom_total_mub_per_fu=3.391 pbc="T T T"
Cr 0.000 0.000 0.000
In 0.000 0.000 3.820
As 2.260 0.000 1.910
As 0.000 2.260 1.910

---

2.
12
Lattice="3.787 -6.445 0.000 3.787 6.445 0.000 -2.583 0.000 7.095" Properties=species:S:1:pos:R:3 comment="PBE Sm6Sb5O, relaxed" raw_formation_energy_ev_per_atom=-1.282 final_energy_ev_per_atom=-5.772 spacegroup="C2/m (12)" magmom_total_mub_per_fu=0.000 pbc="T T T"
Sm 1.105 1.940 1.594
Sm -0.140 0.000 5.272
Sm 1.105 -1.940 1.594
Sm 3.886 1.940 5.502
Sm 5.130 0.000 1.824
Sm 3.886 -1.940 5.502
Sb 2.495 4.122 3.548
Sb 3.787 2.113 0.000
Sb 2.495 0.000 3.548
Sb 3.787 -2.113 0.000
Sb 2.495 -4.122 3.548
O 0.000 0.000 0.000

---

3.
17
Lattice="-4.387 4.387 4.387 4.387 -4.387 4.387 4.387 4.387 -4.387" Properties=species:S:1:pos:R:3 comment="PBE Dy4Ga12Hg, relaxed" ef_mev_per_atom=-466 final_energy_ev_per_atom=-3.703 spacegroup="Im-3m (229)" magmom_total_mub_per_fu=0.000 pbc="T T T"
Dy 2.194 2.194 -2.194
Dy 2.194 -2.194 2.194
Dy -2.194 2.194 2.194
Dy 2.194 2.194 2.194
Ga 2.743 0.000 0.000
Ga 6.032 0.000 0.000
Ga 4.387 2.194 0.000
Ga 4.387 0.000 2.194
Ga 0.000 2.743 0.000
Ga 0.000 0.000 2.743
Ga 2.194 4.387 0.000
Ga 2.194 0.000 4.387
Ga 0.000 6.032 0.000
Ga 0.000 0.000 6.032
Ga 0.000 4.387 2.194
Ga 0.000 2.194 4.387
Hg 0.000 0.000 0.000

---

4.
5
Lattice="4.622 0.000 0.000 0.000 4.622 0.000 0.000 0.000 4.622" Properties=species:S:1:pos:R:3 comment="PBE NbV3C, relaxed" e_above_lowest_polymorph_ev_per_atom=2.803 ef_mev_per_atom=2670 final_energy_ev_per_atom=-6.659 spacegroup="Pm-3m (221)" magmom_total_mub_per_fu=4.439 pbc="T T T"
Nb 0.000 0.000 0.000
V 0.000 0.000 2.311
V 0.000 2.311 0.000
V 2.311 0.000 0.000
C 2.311 2.311 2.311

---

Question: Which formula does entry 1 have?
Answer: CrInAs2

---

Please write out number 3 again, unchanged.
17
Lattice="-4.387 4.387 4.387 4.387 -4.387 4.387 4.387 4.387 -4.387" Properties=species:S:1:pos:R:3 comment="PBE Dy4Ga12Hg, relaxed" ef_mev_per_atom=-466 final_energy_ev_per_atom=-3.703 spacegroup="Im-3m (229)" magmom_total_mub_per_fu=0.000 pbc="T T T"
Dy 2.194 2.194 -2.194
Dy 2.194 -2.194 2.194
Dy -2.194 2.194 2.194
Dy 2.194 2.194 2.194
Ga 2.743 0.000 0.000
Ga 6.032 0.000 0.000
Ga 4.387 2.194 0.000
Ga 4.387 0.000 2.194
Ga 0.000 2.743 0.000
Ga 0.000 0.000 2.743
Ga 2.194 4.387 0.000
Ga 2.194 0.000 4.387
Ga 0.000 6.032 0.000
Ga 0.000 0.000 6.032
Ga 0.000 4.387 2.194
Ga 0.000 2.194 4.387
Hg 0.000 0.000 0.000